# 1
Computed, not measured: a geometry-optimized BeCo2As structure at the PBE-GGA level of DFT.

## Properties
- VASP energy: -5.8125 eV per atom
- Calculated formation energy: -166 meV per atom
- Distance to the lowest polymorph of the same formula: 16 meV per atom

Lattice parameters (Å, degrees): 3.665 3.665 3.149 90.00 90.00 90.00
Space group P4/mmm (No. 123)
Symmetry-distinct sites (fractional):
Be  0.000  0.000  0.000
Co  0.000  0.500  0.500
As  0.500  0.500  0.000



# 2
Computed, not measured: a geometry-optimized Dy2HoHf structure at the PBE-GGA level of DFT.

## Properties
- VASP energy: -5.5775 eV per atom
- Calculated formation energy: 356 meV per atom
- Distance to the lowest polymorph of the same formula: 247 meV per atom

Lattice parameters (Å, degrees): 3.3305 3.3305 35.8366 90.00 90.00 120.00
Space group R-3m (No. 166, hexagonal axes)
Symmetry-distinct sites (fractional):
Dy  0.0000  0.0000  0.0866
Ho  0.0000  0.0000  0.5000
Hf  0.0000  0.0000  0.0000



# 3
Computed, not measured: a geometry-optimized CrNiSnGe2 structure at the PBE-GGA level of DFT.

## Properties
- VASP energy: -5.0683 eV per atom
- Calculated formation energy: 660 meV per atom

Lattice parameters (Å, degrees): 4.552 4.552 4.992 90.00 90.00 90.00
Space group P4/mmm (No. 123)
Symmetry-distinct sites (fractional):
Cr  0.000  0.000  0.000
Ni  0.500  0.500  0.500
Sn  0.000  0.000  0.500
Ge  0.000  0.500  0.000



# 4
Computed, not measured: a geometry-optimized TiHg2Rh structure at the PBE-GGA level of DFT.

## Properties
- VASP energy: -3.6195 eV per atom
- Calculated formation energy: 343 meV per atom
- Distance to the lowest polymorph of the same formula: 368 meV per atom

Lattice parameters (Å, degrees): 7.629 7.629 5.494 90.00 90.00 90.00
Space group I-42d (No. 122)
Symmetry-distinct sites (fractional):
Ti  0.000  0.000  0.000
Hg  0.242  0.250  0.625
Rh  0.000  0.000  0.500



# 5
Computed, not measured: a geometry-optimized Ac8NiPt3Br3 structure at the PBE-GGA level of DFT.

## Properties
- VASP energy: -5.2097 eV per atom
- E_form (uncorrected): -1.090 eV per atom

Lattice parameters (Å, degrees): 8.8986 8.8986 24.1517 90.00 90.00 120.00
Space group R-3m (No. 166, hexagonal axes)
Symmetry-distinct sites (fractional):
Ac  0.0000  0.0000  0.2337
Ac  0.0023  0.5011  0.2322
Ni  0.0000  0.0000  0.5000
Pt  0.0000  0.5000  0.5000
Br  0.0000  0.5000  0.0000



# 6
Computed, not measured: a geometry-optimized GdAlCuRu structure at the PBE-GGA level of DFT.

## Properties
- VASP energy: -8.0554 eV per atom
- Calculated formation energy: -257 meV per atom

Lattice parameters (Å, degrees): 6.502 6.502 6.502 90.00 90.00 90.00
Space group F-43m (No. 216)
Symmetry-distinct sites (fractional):
Gd  0.000  0.000  0.000
Al  0.000  0.000  0.500
Cu  0.250  0.250  0.750
Ru  0.250  0.250  0.250



# 7
Computed, not measured: a geometry-optimized LiPrH8Rh2 structure at the PBE-GGA level of DFT.

## Properties
- VASP energy: -4.3503 eV per atom

Lattice parameters (Å, degrees): 4.7857 4.7857 16.3199 90.00 90.00 120.00
Space group R-3 (No. 148, hexagonal axes)
Symmetry-distinct sites (fractional):
Li  0.0000  0.0000  0.0000
Pr  0.0000  0.0000  0.5000
H  0.0000  0.0000  0.1939
H  0.0079  0.7261  0.3778
Rh  0.0000  0.0000  0.2985



# 8
Computed, not measured: a geometry-optimized CeMgSi2Ni2 structure at the PBE-GGA level of DFT.

## Properties
- VASP energy: -5.6016 eV per atom
- E_form (uncorrected): -0.612 eV per atom

Lattice parameters (Å, degrees): 4.0791 4.0791 6.7646 90.00 90.00 120.00
Space group P-3m1 (No. 164)
Symmetry-distinct sites (fractional):
Ce  0.0000  0.0000  0.0000
Mg  0.0000  0.0000  0.5000
Si  0.3333  0.6667  0.2843
Ni  0.3333  0.6667  0.6710



# 9
Computed, not measured: a geometry-optimized Sm3ScS structure at the PBE-GGA level of DFT.

## Properties
- VASP energy: -5.5325 eV per atom
- E_form (uncorrected): -0.609 eV per atom

Lattice parameters (Å, degrees): 5.370 5.370 5.370 90.00 90.00 90.00
Space group Pm-3m (No. 221)
Symmetry-distinct sites (fractional):
Sm  0.000  0.000  0.500
Sc  0.500  0.500  0.500
S  0.000  0.000  0.000



# 10
Computed, not measured: a geometry-optimized NpMnAl4 structure at the PBE-GGA level of DFT.

## Properties
- VASP energy: -6.3813 eV per atom
- Calculated formation energy: -201 meV per atom
- Distance to the lowest polymorph of the same formula: 0 meV per atom

Lattice parameters (Å, degrees): 7.542 4.149 6.471 90.00 90.00 90.00
Space group Pmma (No. 51)
Symmetry-distinct sites (fractional):
Np  0.250  0.000  0.101
Mn  0.250  0.000  0.742
Al  0.000  0.000  0.500
Al  0.058  0.500  0.805
Al  0.250  0.500  0.449



# 11
Computed, not measured: a geometry-optimized Th8BiAu2 structure at the PBE-GGA level of DFT.

## Properties
- VASP energy: -6.5094 eV per atom
- Calculated formation energy: -165 meV per atom

Lattice parameters (Å, degrees): 15.604 6.783 6.468 90.00 95.39 90.00
Space group C2/m (No. 12)
Symmetry-distinct sites (fractional):
Th  0.082  0.000  0.386
Th  0.103  0.248  0.877
Th  0.207  0.500  0.358
Bi  0.000  0.500  0.500
Au  0.238  0.000  0.156



# 12
Computed, not measured: a geometry-optimized NbPb3F structure at the PBE-GGA level of DFT.

## Properties
- VASP energy: -4.5830 eV per atom
- E_form (uncorrected): 0.030 eV per atom
- Distance to the lowest polymorph of the same formula: 0 meV per atom

Lattice parameters (Å, degrees): 5.464 5.464 5.464 90.00 90.00 90.00
Space group Pm-3m (No. 221)
Symmetry-distinct sites (fractional):
Nb  0.000  0.000  0.000
Pb  0.000  0.000  0.500
F  0.500  0.500  0.500



What is the VASP energy in the eighth record? -5.6016 eV per atom



VASP energy of number 2 (Dy2HoHf)? -5.5775 eV per atom



Number 6 is which compound? GdAlCuRu



What is the formula in the fourth record? TiHg2Rh